No. 1
Here is MnInBr2 after structural relaxation from Alexandria via LeMat-Bulk. Energies are from PBE-GGA.

Spin magnetization, μB per formula unit: 4.724
DOS(E_F), states/eV per cell: 1.217
Total energy, eV/atom: -4.0503
Formation energy from raw total energies, eV per atom: -0.237
SG: No. 35
Energy above the most stable polymorph in this dataset, eV per formula unit: 0.69

abc: 3.7047 3.7047 9.4941
angles: 90.00 90.00 116.38
Fractional coordinates of all 4 atoms:
Mn  0.0000  0.0000  0.0000
In  0.5000  0.5000  0.2257
Br  0.0000  0.0000  0.4376
Br  0.5000  0.5000  0.8278

---

No. 2
Here is Mg2TaPt after structural relaxation from Alexandria via LeMat-Bulk. Energies are from PBE-GGA.

Spin magnetization, μB per formula unit: 0.000
ΔH_f (0 K), meV/atom: -175
DOS(E_F), states/eV per cell: 1.966
Total energy, eV/atom: -5.4460
SG: No. 12
Energy above the most stable polymorph in this dataset, eV per formula unit: 0.44

abc: 5.7721 5.7721 4.9868
angles: 114.72 114.72 28.66
Fractional coordinates of all 4 atoms:
Mg  0.2262  0.2262  0.2277
Mg  0.7738  0.7738  0.7723
Ta  0.0000  0.0000  0.5000
Pt  0.5000  0.5000  0.0000

---

No. 3
Here is BeOsAu after structural relaxation from Alexandria via LeMat-Bulk. Energies are from PBE-GGA.

Spin magnetization, μB per formula unit: 0.001
ΔH_f (0 K), meV/atom: 210
DOS(E_F), states/eV per cell: 2.366
Total energy, eV/atom: -5.8682
SG: No. 156
Energy above the most stable polymorph in this dataset, eV per formula unit: 0.00

abc: 2.7514 2.7514 6.3506
angles: 90.00 90.00 120.00
Fractional coordinates of all 3 atoms:
Be  0.0000  0.0000  0.0000
Os  0.6667  0.3333  0.2817
Au  0.3333  0.6667  0.6851

---

Q: Which formula does entry 1 have?
A: MnInBr2